No. 1
# PBE Ti3CoHg, optimized geometry
# energy of formation	0.17	eV per atom
# DFT total energy	-6.0511	eV/atom
# total moment	0.00	μB per cell
# energy relative to the lowest polymorph listed for this composition	241	meV/atom
data_Ti3CoHg
_symmetry_space_group_name_H-M 'P m -3 m'
_symmetry_Int_Tables_number 221
_symmetry_space_group_name_Hall '-P 4 2 3'
_cell_length_a 4.513
_cell_length_b 4.513
_cell_length_c 4.513
_cell_angle_alpha 90.00
_cell_angle_beta 90.00
_cell_angle_gamma 90.00
loop_
_atom_site_label
_atom_site_type_symbol
_atom_site_fract_x
_atom_site_fract_y
_atom_site_fract_z
Ti1 Ti 0.000 0.000 0.500
Co1 Co 0.000 0.000 0.000
Hg1 Hg 0.500 0.500 0.500

No. 2
# PBE TiCo2Hg, optimized geometry
# energy of formation	-0.06	eV per atom
# DFT total energy	-5.6600	eV/atom
# total moment	0.19	μB per cell
data_TiCo2Hg
_symmetry_space_group_name_H-M 'P 4/m m m'
_symmetry_Int_Tables_number 123
_symmetry_space_group_name_Hall '-P 4 2'
_cell_length_a 3.040
_cell_length_b 3.040
_cell_length_c 6.137
_cell_angle_alpha 90.00
_cell_angle_beta 90.00
_cell_angle_gamma 90.00
loop_
_atom_site_label
_atom_site_type_symbol
_atom_site_fract_x
_atom_site_fract_y
_atom_site_fract_z
Ti1 Ti 0.000 0.000 0.000
Co1 Co 0.500 0.500 0.215
Hg1 Hg 0.000 0.000 0.500

No. 3
# PBE TiCoHg, optimized geometry
# energy of formation	-0.11	eV per atom
# DFT total energy	-5.2144	eV/atom
# total moment	0.01	μB per cell
# energy relative to the lowest polymorph listed for this composition	0	meV/atom
data_TiCoHg
_symmetry_space_group_name_H-M 'C m c m'
_symmetry_Int_Tables_number 63
_symmetry_space_group_name_Hall '-C 2c 2'
_cell_length_a 2.964
_cell_length_b 16.478
_cell_length_c 4.140
_cell_angle_alpha 90.00
_cell_angle_beta 90.00
_cell_angle_gamma 90.00
loop_
_atom_site_label
_atom_site_type_symbol
_atom_site_fract_x
_atom_site_fract_y
_atom_site_fract_z
Ti1 Ti 0.000 0.068 0.250
Co1 Co 0.000 0.450 0.250
Hg1 Hg 0.000 0.196 0.750

No. 4
# PBE Ti4CoHg, optimized geometry
# energy of formation	0.47	eV per atom
# DFT total energy	-6.0303	eV/atom
# total moment	2.26	μB per cell
# energy relative to the lowest polymorph listed for this composition	656	meV/atom
data_Ti4CoHg
_symmetry_space_group_name_H-M 'C m m m'
_symmetry_Int_Tables_number 65
_symmetry_space_group_name_Hall '-C 2 2'
_cell_length_a 8.840
_cell_length_b 9.154
_cell_length_c 3.093
_cell_angle_alpha 90.00
_cell_angle_beta 90.00
_cell_angle_gamma 90.00
loop_
_atom_site_label
_atom_site_type_symbol
_atom_site_fract_x
_atom_site_fract_y
_atom_site_fract_z
Ti1 Ti 0.000 0.248 0.000
Ti2 Ti 0.193 0.000 0.500
Co1 Co 0.000 0.000 0.000
Hg1 Hg 0.000 0.500 0.500

No. 5
# PBE Ti2CoHg, optimized geometry
# energy of formation	0.02	eV per atom
# DFT total energy	-5.7823	eV/atom
# total moment	0.00	μB per cell
data_Ti2CoHg
_symmetry_space_group_name_H-M 'R 3 m'
_symmetry_Int_Tables_number 160
_symmetry_space_group_name_Hall 'R 3 -2"'
_cell_length_a 3.4169
_cell_length_b 3.4169
_cell_length_c 21.1151
_cell_angle_alpha 90.00
_cell_angle_beta 90.00
_cell_angle_gamma 120.00
loop_
_atom_site_label
_atom_site_type_symbol
_atom_site_fract_x
_atom_site_fract_y
_atom_site_fract_z
Ti1 Ti 0.0000 0.0000 0.0000
Ti2 Ti 0.0000 0.0000 0.2101
Co1 Co 0.0000 0.0000 0.6081
Hg1 Hg 0.0000 0.0000 0.7714

No. 6
# PBE Ti4CoHg, optimized geometry
# energy of formation	-0.19	eV per atom
# DFT total energy	-6.6860	eV/atom
# total moment	0.31	μB per cell
# energy relative to the lowest polymorph listed for this composition	0	meV/atom
data_Ti4CoHg
_symmetry_space_group_name_H-M 'P 4/m m m'
_symmetry_Int_Tables_number 123
_symmetry_space_group_name_Hall '-P 4 2'
_cell_length_a 2.994
_cell_length_b 2.994
_cell_length_c 10.951
_cell_angle_alpha 90.00
_cell_angle_beta 90.00
_cell_angle_gamma 90.00
loop_
_atom_site_label
_atom_site_type_symbol
_atom_site_fract_x
_atom_site_fract_y
_atom_site_fract_z
Ti1 Ti 0.000 0.000 0.137
Ti2 Ti 0.500 0.500 0.306
Co1 Co 0.500 0.500 0.000
Hg1 Hg 0.000 0.000 0.500

No. 7
# PBE Ti2ZnCoHg, optimized geometry
# energy of formation	1.47	eV per atom
# DFT total energy	-3.4203	eV/atom
# total moment	2.40	μB per cell
data_Ti2ZnCoHg
_symmetry_space_group_name_H-M 'P 4/m m m'
_symmetry_Int_Tables_number 123
_symmetry_space_group_name_Hall '-P 4 2'
_cell_length_a 5.033
_cell_length_b 5.033
_cell_length_c 4.678
_cell_angle_alpha 90.00
_cell_angle_beta 90.00
_cell_angle_gamma 90.00
loop_
_atom_site_label
_atom_site_type_symbol
_atom_site_fract_x
_atom_site_fract_y
_atom_site_fract_z
Ti1 Ti 0.000 0.500 0.000
Zn1 Zn 0.000 0.000 0.500
Co1 Co 0.500 0.500 0.500
Hg1 Hg 0.000 0.000 0.000

No. 8
# PBE ZrTiCoHg, optimized geometry
# energy of formation	-0.20	eV per atom
# DFT total energy	-6.1605	eV/atom
# total moment	0.07	μB per cell
data_ZrTiCoHg
_symmetry_space_group_name_H-M 'P 4 m m'
_symmetry_Int_Tables_number 99
_cell_length_a 3.118
_cell_length_b 3.118
_cell_length_c 7.166
_cell_angle_alpha 90.00
_cell_angle_beta 90.00
_cell_angle_gamma 90.00
loop_
_symmetry_equiv_pos_as_xyz
'x,y,z'
'-y,x,z'
'-x,-y,z'
'y,-x,z'
'-x,y,z'
'y,x,z'
'x,-y,z'
'-y,-x,z'
loop_
_atom_site_label
_atom_site_type_symbol
_atom_site_fract_x
_atom_site_fract_y
_atom_site_fract_z
Zr1 Zr 0.000 0.000 0.000
Ti1 Ti 0.000 0.000 0.420
Co1 Co 0.500 0.500 0.261
Hg1 Hg 0.500 0.500 0.692

No. 9
# PBE Tl2Co2Hg, optimized geometry
# energy of formation	0.44	eV per atom
# DFT total energy	-3.4138	eV/atom
# total moment	4.92	μB per cell
# energy relative to the lowest polymorph listed for this composition	0	meV/atom
data_Tl2Co2Hg
_symmetry_space_group_name_H-M 'P 4/m b m'
_symmetry_Int_Tables_number 127
_symmetry_space_group_name_Hall '-P 4 2ab'
_cell_length_a 6.880
_cell_length_b 6.880
_cell_length_c 4.021
_cell_angle_alpha 90.00
_cell_angle_beta 90.00
_cell_angle_gamma 90.00
loop_
_atom_site_label
_atom_site_type_symbol
_atom_site_fract_x
_atom_site_fract_y
_atom_site_fract_z
Tl1 Tl 0.171 0.329 0.000
Co1 Co 0.121 0.621 0.500
Hg1 Hg 0.000 0.000 0.500

No. 10
# PBE TlCoHg2, optimized geometry
# energy of formation	0.43	eV per atom
# DFT total energy	-2.0863	eV/atom
# total moment	1.30	μB per cell
# energy relative to the lowest polymorph listed for this composition	125	meV/atom
data_TlCoHg2
_symmetry_space_group_name_H-M 'P 1 2/m 1'
_symmetry_Int_Tables_number 10
_cell_length_a 4.073
_cell_length_b 4.390
_cell_length_c 5.449
_cell_angle_alpha 90.00
_cell_angle_beta 107.36
_cell_angle_gamma 90.00
loop_
_symmetry_equiv_pos_as_xyz
'x,y,z'
'-x,-y,-z'
'-x,y,-z'
'x,-y,z'
loop_
_atom_site_label
_atom_site_type_symbol
_atom_site_fract_x
_atom_site_fract_y
_atom_site_fract_z
Tl1 Tl 0.000 0.000 0.000
Co1 Co 0.000 0.000 0.500
Hg1 Hg 0.351 0.500 0.713

No. 11
# PBE TlCoHg2, optimized geometry
# energy of formation	0.42	eV per atom
# DFT total energy	-2.0953	eV/atom
# total moment	4.35	μB per cell
# energy relative to the lowest polymorph listed for this composition	116	meV/atom
data_TlCoHg2
_symmetry_space_group_name_H-M 'R 3 m'
_symmetry_Int_Tables_number 160
_symmetry_space_group_name_Hall 'R 3 -2"'
_cell_length_a 3.3001
_cell_length_b 3.3001
_cell_length_c 27.7367
_cell_angle_alpha 90.00
_cell_angle_beta 90.00
_cell_angle_gamma 120.00
loop_
_atom_site_label
_atom_site_type_symbol
_atom_site_fract_x
_atom_site_fract_y
_atom_site_fract_z
Tl1 Tl 0.0000 0.0000 0.0000
Co1 Co 0.0000 0.0000 0.2615
Hg1 Hg 0.0000 0.0000 0.5255
Hg2 Hg 0.0000 0.0000 0.7643

No. 12
# PBE TlCo3Hg, optimized geometry
# energy of formation	1.49	eV per atom
# DFT total energy	-3.3106	eV/atom
# total moment	5.29	μB per cell
# energy relative to the lowest polymorph listed for this composition	0	meV/atom
data_TlCo3Hg
_symmetry_space_group_name_H-M 'P m -3 m'
_symmetry_Int_Tables_number 221
_symmetry_space_group_name_Hall '-P 4 2 3'
_cell_length_a 4.827
_cell_length_b 4.827
_cell_length_c 4.827
_cell_angle_alpha 90.00
_cell_angle_beta 90.00
_cell_angle_gamma 90.00
loop_
_atom_site_label
_atom_site_type_symbol
_atom_site_fract_x
_atom_site_fract_y
_atom_site_fract_z
Tl1 Tl 0.000 0.000 0.000
Co1 Co 0.000 0.500 0.500
Hg1 Hg 0.500 0.500 0.500

No. 13
# PBE Tl2Co2Hg, optimized geometry
# energy of formation	0.70	eV per atom
# DFT total energy	-3.1504	eV/atom
# total moment	6.06	μB per cell
# energy relative to the lowest polymorph listed for this composition	263	meV/atom
data_Tl2Co2Hg
_symmetry_space_group_name_H-M 'I 4/m m m'
_symmetry_Int_Tables_number 139
_symmetry_space_group_name_Hall '-I 4 2'
_cell_length_a 4.408
_cell_length_b 4.408
_cell_length_c 11.034
_cell_angle_alpha 90.00
_cell_angle_beta 90.00
_cell_angle_gamma 90.00
loop_
_atom_site_label
_atom_site_type_symbol
_atom_site_fract_x
_atom_site_fract_y
_atom_site_fract_z
Tl1 Tl 0.000 0.500 0.250
Co1 Co 0.000 0.000 0.098
Hg1 Hg 0.000 0.000 0.500